VASP calculation (PBE+U) on Li6Fe3Co5O16 after structural relaxation.

Unit cell a=5.170 b=2.846 c=18.594 alpha=90.00 beta=85.06 gamma=90.00
Site moments in Bohr magnetons follow the coordinates.
Element x y z (fractional)
O  0.377  0.000  0.692  -0.05
O  0.581  0.000  0.313  -0.09
O  0.723  0.500  0.439  -0.04
O  0.159  0.000  0.440  -0.04
O  0.092  0.000  0.812  -0.01
O  0.366  0.000  0.053  -0.03
O  0.895  0.000  0.192  -0.16
O  0.524  0.500  0.812  0.00
O  0.231  0.500  0.934  0.01
O  0.657  0.000  0.936  0.01
O  0.870  0.000  0.560  -0.04
O  0.972  0.500  0.685  0.01
O  0.276  0.500  0.567  0.01
O  0.473  0.500  0.186  -0.11
O  0.778  0.500  0.060  -0.04
O  0.024  0.500  0.313  -0.09
Fe  0.874  0.000  0.377  1.12
Fe  0.741  0.500  0.251  2.63
Fe  0.626  0.000  0.122  1.12
Co  0.508  0.500  0.996  0.48
Co  0.375  0.000  0.873  0.00
Co  0.124  0.000  0.626  -0.45
Co  0.009  0.500  0.502  -0.04
Co  0.240  0.500  0.750  -0.08
Li  0.235  0.000  0.239  0.00
Li  0.720  0.000  0.733  0.00
Li  0.024  0.000  0.009  0.00
Li  0.528  0.000  0.521  0.00
Li  0.377  0.500  0.386  0.00
Li  0.870  0.500  0.869  0.00

Results
**Theoretical density**: 4.63 g cm⁻³
**Total magnetic moment**: 4.03 μB/f.u.
**SG**: No. 6
**E**: -5.735 eV/atom